The following is a GGA-PBE calculation of a relaxed structure of ErPd7Au5, from Alexandria via LeMat-Bulk.

Properties
Formation energy   -210.9 meV per atom

Unit cell a=5.450 b=9.246 c=9.275 alpha=90.00 beta=90.00 gamma=90.00
Space group Imm2 (No. 44)
Inequivalent atoms, fractional coordinates:
Er: 0.000 0.000 0.000
Pd: 0.000 0.000 0.332
Pd: 0.000 0.000 0.638
Pd: 0.000 0.271 0.481
Pd: 0.000 0.347 0.981
Pd: 0.000 0.500 0.675
Au: 0.000 0.500 0.287
Au: 0.250 0.247 0.231